Model a:
Here is an optimized crystal structure of KAg2Ru from Alexandria. Energies are from GGA-PBEsol.

Summary:
magnetic moment = 0.00 μB/f.u.

```
data_KAg2Ru
_space_group_name_H-M_alt 'I m m 2'
_space_group_IT_number 44
_cell_length_a 2.695
_cell_length_b 5.214
_cell_length_c 10.787
_cell_angle_alpha 90.00
_cell_angle_beta 90.00
_cell_angle_gamma 90.00
loop_
_space_group_symop_operation_xyz
'x,y,z'
'-x,-y,z'
'-x,y,z'
'x,-y,z'
'x+1/2,y+1/2,z+1/2'
'-x+1/2,-y+1/2,z+1/2'
'-x+1/2,y+1/2,z+1/2'
'x+1/2,-y+1/2,z+1/2'
loop_
_atom_site_label
_atom_site_type_symbol
_atom_site_fract_x
_atom_site_fract_y
_atom_site_fract_z
_atom_site_occupancy
K1 K 0.000 0.000 0.000 1
Ag1 Ag 0.000 0.000 0.495 1
Ag2 Ag 0.000 0.500 0.226 1
Ru1 Ru 0.000 0.500 0.775 1
```

Model b:
Here is an optimized crystal structure of KAg2Ru from Alexandria. Energies are from GGA-PBEsol.

Summary:
magnetic moment = 0.00 μB/f.u.

```
data_KAg2Ru
_space_group_name_H-M_alt 'P 4/m m m'
_space_group_IT_number 123
_space_group_name_Hall '-P 4 2'
_cell_length_a 5.193
_cell_length_b 5.193
_cell_length_c 2.696
_cell_angle_alpha 90.00
_cell_angle_beta 90.00
_cell_angle_gamma 90.00
loop_
_atom_site_label
_atom_site_type_symbol
_atom_site_fract_x
_atom_site_fract_y
_atom_site_fract_z
_atom_site_occupancy
K1 K 0.000 0.000 0.000 1
Ag1 Ag 0.000 0.500 0.500 1
Ru1 Ru 0.500 0.500 0.000 1
```

Model c:
Here is an optimized crystal structure of KAg2Ru from Alexandria. Energies are from GGA-PBEsol.

Summary:
magnetic moment = 0.00 μB/f.u.

```
data_KAg2Ru
_space_group_name_H-M_alt 'P m m m'
_space_group_IT_number 47
_cell_length_a 2.694
_cell_length_b 4.092
_cell_length_c 7.326
_cell_angle_alpha 90.00
_cell_angle_beta 90.00
_cell_angle_gamma 90.00
loop_
_space_group_symop_operation_xyz
'x,y,z'
'-x,-y,-z'
'-x,-y,z'
'x,y,-z'
'x,-y,-z'
'-x,y,z'
'-x,y,-z'
'x,-y,z'
loop_
_atom_site_label
_atom_site_type_symbol
_atom_site_fract_x
_atom_site_fract_y
_atom_site_fract_z
_atom_site_occupancy
K1 K 0.000 0.000 0.000 1
Ag1 Ag 0.500 0.500 0.316 1
Ru1 Ru 0.000 0.000 0.500 1
```

Stability summary: most stable model c, least stable model a.

Model a:
Here is an optimized crystal structure of K2AgRu from Alexandria. Energies are from GGA-PBEsol.

Summary:
magnetic moment = 0.00 μB/f.u.

```
data_K2AgRu
_space_group_name_H-M_alt 'P m m 2'
_space_group_IT_number 25
_cell_length_a 2.792
_cell_length_b 4.372
_cell_length_c 9.658
_cell_angle_alpha 90.00
_cell_angle_beta 90.00
_cell_angle_gamma 90.00
loop_
_space_group_symop_operation_xyz
'x,y,z'
'-x,-y,z'
'-x,y,z'
'x,-y,z'
loop_
_atom_site_label
_atom_site_type_symbol
_atom_site_fract_x
_atom_site_fract_y
_atom_site_fract_z
_atom_site_occupancy
K1 K 0.000 0.000 0.000 1
K2 K 0.500 0.500 0.436 1
Ag1 Ag 0.500 0.500 0.757 1
Ru1 Ru 0.000 0.000 0.683 1
```

Model b:
Here is an optimized crystal structure of K2AgRu from Alexandria. Energies are from GGA-PBEsol.

Summary:
magnetic moment = 1.99 μB/f.u.

```
data_K2AgRu
_space_group_name_H-M_alt 'F -4 3 m'
_space_group_IT_number 216
_space_group_name_Hall 'F -4 2 3'
_cell_length_a 7.280
_cell_length_b 7.280
_cell_length_c 7.280
_cell_angle_alpha 90.00
_cell_angle_beta 90.00
_cell_angle_gamma 90.00
loop_
_atom_site_label
_atom_site_type_symbol
_atom_site_fract_x
_atom_site_fract_y
_atom_site_fract_z
_atom_site_occupancy
K1 K 0.000 0.000 0.000 1
K2 K 0.250 0.250 0.250 1
Ag1 Ag 0.250 0.250 0.750 1
Ru1 Ru 0.000 0.000 0.500 1
```

Stability summary: most stable model a, least stable model b.

Model a:
Here is an optimized crystal structure of K2Sc2Ag from Alexandria. Energies are from GGA-PBEsol.

Summary:
magnetic moment = 0.01 μB/f.u.

```
data_K2Sc2Ag
_space_group_name_H-M_alt 'I 4/m m m'
_space_group_IT_number 139
_space_group_name_Hall '-I 4 2'
_cell_length_a 4.026
_cell_length_b 4.026
_cell_length_c 22.054
_cell_angle_alpha 90.00
_cell_angle_beta 90.00
_cell_angle_gamma 90.00
loop_
_atom_site_label
_atom_site_type_symbol
_atom_site_fract_x
_atom_site_fract_y
_atom_site_fract_z
_atom_site_occupancy
K1 K 0.000 0.000 0.091 1
Sc1 Sc 0.000 0.500 0.250 1
Ag1 Ag 0.000 0.000 0.500 1
```

Model b:
Here is an optimized crystal structure of K2Sc2Ag from Alexandria. Energies are from GGA-PBEsol.

Summary:
magnetic moment = 0.01 μB/f.u.

```
data_K2Sc2Ag
_space_group_name_H-M_alt 'I 4/m m m'
_space_group_IT_number 139
_space_group_name_Hall '-I 4 2'
_cell_length_a 4.007
_cell_length_b 4.007
_cell_length_c 18.259
_cell_angle_alpha 90.00
_cell_angle_beta 90.00
_cell_angle_gamma 90.00
loop_
_atom_site_label
_atom_site_type_symbol
_atom_site_fract_x
_atom_site_fract_y
_atom_site_fract_z
_atom_site_occupancy
K1 K 0.000 0.500 0.250 1
Sc1 Sc 0.000 0.000 0.073 1
Ag1 Ag 0.000 0.000 0.500 1
```

Stability summary: most stable model a, least stable model b.

Model a:
Here is an optimized crystal structure of KTc2Ag from Alexandria. Energies are from GGA-PBEsol.

Summary:
magnetic moment = 0.00 μB/f.u.

```
data_KTc2Ag
_space_group_name_H-M_alt 'I m m 2'
_space_group_IT_number 44
_cell_length_a 3.074
_cell_length_b 5.465
_cell_length_c 9.797
_cell_angle_alpha 90.00
_cell_angle_beta 90.00
_cell_angle_gamma 90.00
loop_
_space_group_symop_operation_xyz
'x,y,z'
'-x,-y,z'
'-x,y,z'
'x,-y,z'
'x+1/2,y+1/2,z+1/2'
'-x+1/2,-y+1/2,z+1/2'
'-x+1/2,y+1/2,z+1/2'
'x+1/2,-y+1/2,z+1/2'
loop_
_atom_site_label
_atom_site_type_symbol
_atom_site_fract_x
_atom_site_fract_y
_atom_site_fract_z
_atom_site_occupancy
K1 K 0.000 0.000 0.000 1
Tc1 Tc 0.000 0.000 0.464 1
Tc2 Tc 0.000 0.500 0.797 1
Ag1 Ag 0.000 0.500 0.209 1
```

Model b:
Here is an optimized crystal structure of KTc2Ag from Alexandria. Energies are from GGA-PBEsol.

Summary:
magnetic moment = 0.00 μB/f.u.

```
data_KTc2Ag
_space_group_name_H-M_alt 'C 1 2/m 1'
_space_group_IT_number 12
_cell_length_a 5.339
_cell_length_b 10.561
_cell_length_c 2.571
_cell_angle_alpha 90.00
_cell_angle_beta 106.06
_cell_angle_gamma 90.00
loop_
_space_group_symop_operation_xyz
'x,y,z'
'-x,-y,-z'
'-x,y,-z'
'x,-y,z'
'x+1/2,y+1/2,z'
'-x+1/2,-y+1/2,-z'
'-x+1/2,y+1/2,-z'
'x+1/2,-y+1/2,z'
loop_
_atom_site_label
_atom_site_type_symbol
_atom_site_fract_x
_atom_site_fract_y
_atom_site_fract_z
_atom_site_occupancy
K1 K 0.000 0.000 0.000 1
Tc1 Tc 0.250 0.250 0.500 1
Ag1 Ag 0.000 0.500 0.000 1
```

Stability summary: most stable model a, least stable model b.

Model a:
Here is an optimized crystal structure of KAg2W from Alexandria. Energies are from GGA-PBEsol.

Summary:
magnetic moment = 0.00 μB/f.u.

```
data_KAg2W
_space_group_name_H-M_alt 'I m m 2'
_space_group_IT_number 44
_cell_length_a 2.698
_cell_length_b 5.190
_cell_length_c 11.266
_cell_angle_alpha 90.00
_cell_angle_beta 90.00
_cell_angle_gamma 90.00
loop_
_space_group_symop_operation_xyz
'x,y,z'
'-x,-y,z'
'-x,y,z'
'x,-y,z'
'x+1/2,y+1/2,z+1/2'
'-x+1/2,-y+1/2,z+1/2'
'-x+1/2,y+1/2,z+1/2'
'x+1/2,-y+1/2,z+1/2'
loop_
_atom_site_label
_atom_site_type_symbol
_atom_site_fract_x
_atom_site_fract_y
_atom_site_fract_z
_atom_site_occupancy
K1 K 0.000 0.000 0.000 1
Ag1 Ag 0.000 0.000 0.506 1
Ag2 Ag 0.000 0.500 0.230 1
W1 W 0.000 0.500 0.786 1
```

Model b:
Here is an optimized crystal structure of KAg2W from Alexandria. Energies are from GGA-PBEsol.

Summary:
magnetic moment = 0.01 μB/f.u.

```
data_KAg2W
_space_group_name_H-M_alt 'P 4 m m'
_space_group_IT_number 99
_cell_length_a 2.775
_cell_length_b 2.775
_cell_length_c 9.969
_cell_angle_alpha 90.00
_cell_angle_beta 90.00
_cell_angle_gamma 90.00
loop_
_space_group_symop_operation_xyz
'x,y,z'
'-y,x,z'
'-x,-y,z'
'y,-x,z'
'-x,y,z'
'y,x,z'
'x,-y,z'
'-y,-x,z'
loop_
_atom_site_label
_atom_site_type_symbol
_atom_site_fract_x
_atom_site_fract_y
_atom_site_fract_z
_atom_site_occupancy
K1 K 0.000 0.000 0.000 1
Ag1 Ag 0.000 0.000 0.505 1
Ag2 Ag 0.500 0.500 0.716 1
W1 W 0.500 0.500 0.293 1
```

Stability summary: most stable model b, least stable model a.

Model a:
Here is an optimized crystal structure of LiLaAg from Alexandria. Energies are from GGA-PBEsol.

Summary:
magnetic moment = 0.00 μB/f.u.

```
data_LiLaAg
_space_group_name_H-M_alt 'I 4 m m'
_space_group_IT_number 107
_space_group_name_Hall 'I 4 -2'
_cell_length_a 3.572
_cell_length_b 3.572
_cell_length_c 10.612
_cell_angle_alpha 90.00
_cell_angle_beta 90.00
_cell_angle_gamma 90.00
loop_
_atom_site_label
_atom_site_type_symbol
_atom_site_fract_x
_atom_site_fract_y
_atom_site_fract_z
_atom_site_occupancy
Li1 Li 0.000 0.000 0.000 1
La1 La 0.000 0.000 0.292 1
Ag1 Ag 0.000 0.000 0.603 1
```

Model b:
Here is an optimized crystal structure of LiLaAg from Alexandria. Energies are from GGA-PBEsol.

Summary:
magnetic moment = 0.13 μB/f.u.

```
data_LiLaAg
_space_group_name_H-M_alt 'P -6 m 2'
_space_group_IT_number 187
_space_group_name_Hall 'P -6 2'
_cell_length_a 4.7584
_cell_length_b 4.7584
_cell_length_c 3.5605
_cell_angle_alpha 90.00
_cell_angle_beta 90.00
_cell_angle_gamma 120.00
loop_
_atom_site_label
_atom_site_type_symbol
_atom_site_fract_x
_atom_site_fract_y
_atom_site_fract_z
_atom_site_occupancy
Li1 Li 0.0000 0.0000 0.0000 1
La1 La 0.6667 0.3333 0.5000 1
Ag1 Ag 0.3333 0.6667 0.0000 1
```

Stability summary: most stable model b, least stable model a.